1.
An optimized crystal structure of Y5Ho2Tm12. Source: Alexandria, functional PBE.

```
data_Y5Ho2Tm12
_cell_length_a 5.954
_cell_length_b 9.620
_cell_length_c 11.118
_cell_angle_alpha 70.05
_cell_angle_beta 82.69
_cell_angle_gamma 88.84
_symmetry_space_group_name_H-M 'P -1'
_symmetry_Int_Tables_number 2
loop_
_symmetry_equiv_pos_as_xyz
'x,y,z'
'-x,-y,-z'
loop_
_atom_site_label
_atom_site_type_symbol
_atom_site_fract_x
_atom_site_fract_y
_atom_site_fract_z
Y1 Y 0.000 0.000 0.000
Y2 Y 0.102 0.962 0.344
Y3 Y 0.500 0.453 0.169
Ho1 Ho 0.283 0.568 0.420
Tm1 Tm 0.040 0.685 0.656
Tm2 Tm 0.070 0.315 0.042
Tm3 Tm 0.164 0.317 0.728
Tm4 Tm 0.385 0.906 0.787
Tm5 Tm 0.427 0.819 0.105
Tm6 Tm 0.429 0.181 0.487
```

2.
# Y3Ho2Tm2 | Alexandria | PBE | relaxed
# Energy relative to the lowest polymorph listed for this composition, eV/atom: 0.000
data_Y3Ho2Tm2
_cell_length_a 3.530
_cell_length_b 6.122
_cell_length_c 10.619
_cell_angle_alpha 84.39
_cell_angle_beta 89.91
_cell_angle_gamma 73.25
_symmetry_space_group_name_H-M 'P -1'
_symmetry_Int_Tables_number 2
loop_
_symmetry_equiv_pos_as_xyz
'x,y,z'
'-x,-y,-z'
loop_
_atom_site_label
_atom_site_type_symbol
_atom_site_fract_x
_atom_site_fract_y
_atom_site_fract_z
Y1 Y 0.000 0.000 0.000
Y2 Y 0.143 0.716 0.572
Ho1 Ho 0.284 0.430 0.142
Tm1 Tm 0.428 0.144 0.715

3.
# YHo7Tm3 | Alexandria | PBE | relaxed
# Energy relative to the lowest polymorph listed for this composition, eV/atom: 0.135
data_YHo7Tm3
_cell_length_a 12.475
_cell_length_b 11.073
_cell_length_c 5.725
_cell_angle_alpha 90.00
_cell_angle_beta 117.21
_cell_angle_gamma 90.00
_symmetry_space_group_name_H-M 'C 1 2/m 1'
_symmetry_Int_Tables_number 12
loop_
_symmetry_equiv_pos_as_xyz
'x,y,z'
'-x,-y,-z'
'-x,y,-z'
'x,-y,z'
'x+1/2,y+1/2,z'
'-x+1/2,-y+1/2,-z'
'-x+1/2,y+1/2,-z'
'x+1/2,-y+1/2,z'
loop_
_atom_site_label
_atom_site_type_symbol
_atom_site_fract_x
_atom_site_fract_y
_atom_site_fract_z
Y1 Y 0.000 0.000 0.000
Ho1 Ho 0.000 0.000 0.500
Ho2 Ho 0.201 0.301 0.201
Ho3 Ho 0.206 0.500 0.705
Tm1 Tm 0.000 0.294 0.500
Tm2 Tm 0.000 0.500 0.000

4.
# Y2Ho12Tm5 | Alexandria | PBE | relaxed
# Energy relative to the lowest polymorph listed for this composition, eV/atom: 0.000
data_Y2Ho12Tm5
_cell_length_a 6.093
_cell_length_b 9.314
_cell_length_c 11.124
_cell_angle_alpha 90.06
_cell_angle_beta 100.46
_cell_angle_gamma 109.06
_symmetry_space_group_name_H-M 'P -1'
_symmetry_Int_Tables_number 2
loop_
_symmetry_equiv_pos_as_xyz
'x,y,z'
'-x,-y,-z'
loop_
_atom_site_label
_atom_site_type_symbol
_atom_site_fract_x
_atom_site_fract_y
_atom_site_fract_z
Y1 Y 0.210 0.474 0.420
Ho1 Ho 0.053 0.368 0.104
Ho2 Ho 0.106 0.738 0.210
Ho3 Ho 0.159 0.105 0.316
Ho4 Ho 0.314 0.209 0.632
Ho5 Ho 0.369 0.579 0.739
Ho6 Ho 0.420 0.947 0.843
Tm1 Tm 0.000 0.000 0.000
Tm2 Tm 0.265 0.843 0.527
Tm3 Tm 0.474 0.315 0.947

5.
# Y2Ho2Tm3 | Alexandria | PBE | relaxed
# Energy relative to the lowest polymorph listed for this composition, eV/atom: 0.221
data_Y2Ho2Tm3
_cell_length_a 9.617
_cell_length_b 9.617
_cell_length_c 9.617
_cell_angle_alpha 90.00
_cell_angle_beta 90.00
_cell_angle_gamma 90.00
_symmetry_space_group_name_H-M 'I 21 3'
_symmetry_Int_Tables_number 199
_symmetry_space_group_name_Hall 'I 2b 2c 3'
loop_
_atom_site_label
_atom_site_type_symbol
_atom_site_fract_x
_atom_site_fract_y
_atom_site_fract_z
Y1 Y 0.095 0.405 0.595
Ho1 Ho 0.205 0.205 0.205
Tm1 Tm 0.000 0.250 0.940

6.
# Y4Ho5Tm2 | Alexandria | PBE | relaxed
# Energy relative to the lowest polymorph listed for this composition, eV/atom: 0.140
data_Y4Ho5Tm2
_cell_length_a 3.495
_cell_length_b 8.978
_cell_length_c 23.113
_cell_angle_alpha 90.00
_cell_angle_beta 90.00
_cell_angle_gamma 90.00
_symmetry_space_group_name_H-M 'I m m m'
_symmetry_Int_Tables_number 71
_symmetry_space_group_name_Hall '-I 2 2'
loop_
_atom_site_label
_atom_site_type_symbol
_atom_site_fract_x
_atom_site_fract_y
_atom_site_fract_z
Y1 Y 0.000 0.000 0.098
Y2 Y 0.000 0.308 0.500
Ho1 Ho 0.000 0.198 0.354
Ho2 Ho 0.000 0.500 0.000
Tm1 Tm 0.000 0.000 0.231

Number 1: ΔH_f (0 K) 0.1260 eV per atom. Number 2: ΔH_f (0 K) 0.0271 eV per atom. Number 3: ΔH_f (0 K) 0.2740 eV per atom. Number 4: ΔH_f (0 K) 0.0241 eV per atom. Number 5: ΔH_f (0 K) 0.2471 eV per atom. Number 6: ΔH_f (0 K) 0.2662 eV per atom.